! ZnAsOs2 | the Alexandria database | PBE-GGA | optimized geometry; values from VASP
&SYSTEM
  ibrav = 0, nat = 4, ntyp = 3
/
ATOMIC_SPECIES
Zn 65.41 Zn.upf
As 74.92 As.upf
Os 190.23 Os.upf
CELL_PARAMETERS angstrom
2.913 0.000 0.000
0.000 3.907 0.000
-1.381 0.000 5.241
ATOMIC_POSITIONS crystal
Zn 0.000 0.000 0.000
As 0.000 0.000 0.500
Os 0.364 0.500 0.739
Os 0.636 0.500 0.261
! - Offset from the most stable computed form: 0.1806 eV per atom
! - Magnetization: 0.00 μB/f.u.
! - VASP energy: -6.692 eV per atom

***

! ZnAsOs2 | the Alexandria database | PBE-GGA | optimized geometry; values from VASP
&SYSTEM
  ibrav = 0, nat = 4, ntyp = 3
/
ATOMIC_SPECIES
Zn 65.41 Zn.upf
As 74.92 As.upf
Os 190.23 Os.upf
CELL_PARAMETERS angstrom
-1.452 2.380 4.347
1.452 -2.380 4.347
1.452 2.380 -4.347
ATOMIC_POSITIONS crystal
Zn 0.000 0.000 0.000
As 0.500 0.500 0.000
Os 0.275 0.775 0.500
Os 0.725 0.225 0.500
! - Offset from the most stable computed form: 0.2391 eV per atom
! - Magnetization: 0.00 μB/f.u.
! - VASP energy: -6.633 eV per atom